Entry 1:
Entry from Alexandria via LeMat-Bulk: Na6B11C after structural relaxation (PBE).

mass density = 2.2 g/cm3
offset from the most stable computed form = 0.001 eV per atom
total magnetization = 0.01 μB per cell

Unit cell a=8.6566 b=2.9357 c=15.8882 alpha=90.00 beta=90.00 gamma=90.00
With the nearest neighbours (Å) after each atom.
Space group Amm2 (No. 38)
Inequivalent atoms, fractional coordinates:
Na  0.2462  0.0000  0.0000 x4  10 B 2.73-2.82, 2 C 2.78, 6 Na 2.94-3.03
Na  0.2491  0.0000  0.6664 x4  11 B 2.73-2.83, 1 C 2.81, 6 Na 2.94-3.02
Na  0.2497  0.0000  0.3328 x4  12 B 2.74-2.92, 6 Na 2.94-3.03
B  0.0000  0.0000  0.1103 x2  3 B 1.70-1.78
B  0.0000  0.0000  0.2223 x2  3 B 1.71-1.78
B  0.0000  0.0000  0.4434 x2  3 B 1.70-1.79
B  0.0000  0.0000  0.5561 x2  3 B 1.70-1.79
B  0.0000  0.0000  0.7771 x2  3 B 1.71-1.78
B  0.0000  0.0000  0.8892 x2  3 B 1.70-1.78
B  0.5000  0.0000  0.1048 x2  2 C 1.67, 1 B 1.75
B  0.5000  0.0000  0.2150 x2  3 B 1.75-1.80
B  0.5000  0.0000  0.4557 x2  1 C 1.57
B  0.5000  0.0000  0.7810 x2  3 B 1.71-1.80
B  0.5000  0.0000  0.8885 x2  3 B 1.71-1.81
C  0.5000  0.0000  0.5543 x2  3 B 1.57-1.67



Entry 2:
Entry from Alexandria via LeMat-Bulk: TlIn2ReGe after structural relaxation (PBE).

total energy = -4.021 eV per atom
mass density = 8.2 g/cm3
total magnetization = 1.77 μB per cell

Unit cell a=5.4096 b=5.4096 c=4.7838 alpha=90.00 beta=90.00 gamma=90.00
With the nearest neighbours (Å) after each atom.
Space group P4/mmm (No. 123)
Inequivalent atoms, fractional coordinates:
Tl  0.0000  0.0000  0.0000 x1  8 In 3.61, 4 Re 3.83
In  0.0000  0.5000  0.5000 x2  2 Ge 2.70
Re  0.5000  0.5000  0.0000 x1  2 Ge 2.39
Ge  0.5000  0.5000  0.5000 x1  2 Re 2.39



Entry 3:
Entry from Alexandria via LeMat-Bulk: TlSiTc3 after structural relaxation (PBE).

uncorrected formation energy = 4.0 eV per formula unit
mass density = 9.7 g/cm3
offset from the most stable computed form = 0.000 eV per atom
total magnetization = 1.74 μB per cell

Unit cell a=4.4781 b=4.4781 c=4.4781 alpha=90.00 beta=90.00 gamma=90.00
With the nearest neighbours (Å) after each atom.
Space group Pm-3m (No. 221)
Inequivalent atoms, fractional coordinates:
Tl  0.0000  0.0000  0.0000 x1  12 Tc 3.17
Si  0.5000  0.5000  0.5000 x1  6 Tc 2.24
Tc  0.0000  0.5000  0.5000 x3  2 Si 2.24



Entry 4:
Entry from Alexandria via LeMat-Bulk: Er3GaS2 after structural relaxation (PBE).

uncorrected formation energy = -9.1 eV per formula unit
mass density = 8.0 g/cm3
total magnetization = 0.00 μB per cell

Unit cell a=3.8429 b=5.6151 c=12.2063 alpha=90.00 beta=90.00 gamma=90.00
With the nearest neighbours (Å) after each atom.
Space group Immm (No. 71)
Inequivalent atoms, fractional coordinates:
Er  0.0000  0.0000  0.0000 x2  4 S 2.80, 2 Ga 2.81
Er  0.0000  0.0000  0.3270 x4  4 S 2.74-2.81, 2 Ga 2.86
Ga  0.0000  0.5000  0.0000 x2  6 Er 2.81-2.86
S  0.0000  0.5000  0.3334 x4  6 Er 2.74-2.81



Entry 5:
Entry from Alexandria via LeMat-Bulk: Tc4TePt after structural relaxation (PBE).

uncorrected formation energy = 3.4 eV per formula unit
mass density = 11.8 g/cm3
total magnetization = 0.00 μB per cell

Unit cell a=7.3827 b=7.3827 c=7.3827 alpha=90.00 beta=90.00 gamma=90.00
With the nearest neighbours (Å) after each atom.
Space group F-43m (No. 216)
Inequivalent atoms, fractional coordinates:
Tc  0.1229  0.1229  0.3771 x16  6 Tc 2.57-2.65
Te  0.0000  0.0000  0.0000 x4  12 Tc 3.07, 4 Pt 3.20
Pt  0.2500  0.2500  0.7500 x4  12 Tc 3.06, 4 Te 3.20



Entry 6:
Entry from Alexandria via LeMat-Bulk: V2CoPt after structural relaxation (PBE).

total energy = -8.217 eV per atom
mass density = 11.3 g/cm3
total magnetization = 0.00 μB per cell

Unit cell a=3.7178 b=3.7178 c=3.7761 alpha=90.00 beta=90.00 gamma=90.00
With the nearest neighbours (Å) after each atom.
Space group P4/mmm (No. 123)
Inequivalent atoms, fractional coordinates:
V  0.0000  0.5000  0.0000 x2  4 V 2.63, 4 Co 2.65, 4 Pt 2.65
Co  0.0000  0.0000  0.5000 x1  4 Pt 2.63, 8 V 2.65
Pt  0.5000  0.5000  0.5000 x1  4 Co 2.63, 8 V 2.65



no.,DOS at the Fermi energy (states/eV/atom)
1,0.3937
2,0.6011
3,1.1321
4,0.1678
5,1.3541
6,0.8300